Record 1
The following is a DFT calculation (meta-GGA SCAN) of a crystal of Y2MnCo relaxed with PBEsol.

Results
- V (Å³/f.u.) = 75.9
- uncorrected energy (eV/cell) = -90.26
- crystal system = tetragonal
- N(E_F) (states/eV/f.u.) = 4.0
- space-group type = No. 119
- size of the total moment (μB per formula unit) = 3.7
- E_form (eV per formula unit) = 0.98
- ΔE to the lowest computed polymorph (kJ/mol of formula units) = 121

POSCAR file:
```
Y2MnCo
1.0
-1.496 3.569 0.386
-3.588 -1.500 -0.037
2.690 -1.512 4.822
Y Mn Co
2 1 1
Direct
0.000 0.000 0.000 Y
0.750 0.250 0.500 Y
0.250 0.750 0.500 Mn
0.500 0.500 0.000 Co
```



Record 2
The following is a DFT calculation (meta-GGA SCAN) of a crystal of KCeMo2O8 relaxed with PBEsol.

Results
- V (Å³/f.u.) = 168.9
- uncorrected energy (eV/cell) = -203.89
- crystal system = tetragonal
- N(E_F) (states/eV/f.u.) = 3.0
- formation energy (no corrections) (eV/atom) = -2.614
- space-group type = No. 82
- size of the total moment (μB per formula unit) = 1.0

POSCAR file:
```
KCeMo2O8
1.0
5.359 0.000 0.000
0.000 5.359 0.000
-2.680 -2.680 5.879
O Ce Mo K
8 1 2 1
Direct
0.238 0.841 0.154 O
0.915 0.312 0.154 O
0.159 0.085 0.846 O
0.789 0.924 0.324 O
0.599 0.211 0.676 O
0.076 0.465 0.676 O
0.535 0.401 0.324 O
0.688 0.762 0.846 O
0.500 0.500 0.000 Ce
0.000 0.000 0.000 Mo
0.750 0.250 0.500 Mo
0.250 0.750 0.500 K
```



Record 3
The following is a DFT calculation (meta-GGA SCAN) of a crystal of LaAgSeBr2 relaxed with PBEsol.

Results
- V (Å³/f.u.) = 187.1
- uncorrected energy (eV/cell) = -138.40
- crystal system = tetragonal
- N(E_F) (states/eV/f.u.) = 0.2
- formation energy (no corrections) (eV/atom) = -0.987
- space-group type = No. 123
- size of the total moment (μB per formula unit) = 0.0

POSCAR file:
```
LaAgSeBr2
1.0
-0.269 4.161 3.890
0.201 -3.885 4.170
5.743 0.337 0.037
La Se Br Ag
1 1 2 1
Direct
0.000 0.000 0.000 La
0.000 0.000 0.500 Se
0.500 0.000 0.000 Br
0.000 0.500 0.000 Br
0.500 0.500 0.500 Ag
```



Record 4
The following is a DFT calculation (meta-GGA SCAN) of a crystal of CdTcRu2 relaxed with PBEsol.

Results
- V (Å³/f.u.) = 59.3
- uncorrected energy (eV/cell) = -132.77
- crystal system = monoclinic
- N(E_F) (states/eV/f.u.) = 4.0
- space-group type = No. 12
- size of the total moment (μB per formula unit) = 1.1
- E_form (eV per formula unit) = 2.36

POSCAR file:
```
CdTcRu2
1.0
-1.285 -1.840 1.454
4.459 -1.051 2.019
-2.314 4.460 1.437
Tc Ru Cd
1 2 1
Direct
0.000 0.500 0.000 Tc
0.000 0.000 0.500 Ru
0.500 0.500 0.500 Ru
0.500 0.000 0.000 Cd
```